# 1
The following is a GGA-PBE calculation of InSiPd2Cl after structural relaxation, from the Alexandria database.

Unit cell a=5.024 b=5.024 c=5.232 alpha=90.00 beta=90.00 gamma=90.00
Atoms (fractional coordinates):
In (0.000, 0.000, 0.000)
Si (0.500, 0.500, 0.500)
Pd (0.000, 0.500, 0.000)
Pd (0.500, 0.000, 0.000)
Cl (0.000, 0.000, 0.500)

E	-16.46	eV per cell
spin magnetization	0.0	μB/cell
formation energy (no corrections)	75.8	kJ/mol of atoms
symmetry	P4/mmm

***

# 2
The following is a GGA-PBE calculation of InTePdCl2 after structural relaxation, from the Alexandria database.

Unit cell a=5.436 b=5.436 c=5.045 alpha=90.00 beta=90.00 gamma=90.00
Atoms (fractional coordinates):
In (0.000, 0.000, 0.000)
Te (0.500, 0.500, 0.500)
Pd (0.500, 0.500, 0.000)
Cl (0.000, 0.500, 0.500)
Cl (0.500, 0.000, 0.500)

E	-15.52	eV per cell
spin magnetization	0.0	μB/cell
formation energy (no corrections)	-14.5	kJ/mol of atoms
symmetry	P4/mmm

***

# 3
The following is a GGA-PBE calculation of TiInPdCl2 after structural relaxation, from the Alexandria database.

Unit cell a=4.866 b=4.866 c=5.203 alpha=90.00 beta=90.00 gamma=90.00
Atoms (fractional coordinates):
Ti (0.000, 0.000, 0.000)
In (0.500, 0.500, 0.000)
Pd (0.000, 0.000, 0.500)
Cl (0.000, 0.500, 0.500)
Cl (0.500, 0.000, 0.500)

E	-19.06	eV per cell
spin magnetization	2.2	μB/cell
formation energy (no corrections)	8.9	kJ/mol of atoms
symmetry	P4/mmm

***

# 4
The following is a GGA-PBE calculation of TlInPdCl6 after structural relaxation, from the Alexandria database.

Unit cell a=6.634 b=6.634 c=7.119 alpha=90.00 beta=90.00 gamma=120.00
Atoms (fractional coordinates):
Tl (0.000, 0.000, 0.000)
In (0.667, 0.333, 0.500)
Pd (0.333, 0.667, 0.500)
Cl (0.002, 0.370, 0.703)
Cl (0.002, 0.632, 0.297)
Cl (0.368, 0.370, 0.297)
Cl (0.368, 0.998, 0.703)
Cl (0.630, 0.632, 0.703)
Cl (0.630, 0.998, 0.297)

E	-28.90	eV per cell
spin magnetization	2.0	μB/cell
formation energy (no corrections)	-80.6	kJ/mol of atoms
symmetry	P312